Material: PmBiRh2
Method: DFT, PBE-GGA
State: optimized geometry

Unit cell a=7.9329 b=7.4612 c=5.9911 alpha=90.00 beta=93.19 gamma=90.00
Last column: nearest neighbours and their distance in Å.
Space group P2_1/c (No. 14)
Inequivalent atoms, fractional coordinates:
Pm 0.1482 0.0766 0.2572 (multiplicity 4)  5 Rh 2.84-3.01
Bi 0.3450 0.5277 0.2799 (multiplicity 4)  6 Rh 2.70-2.78
Rh 0.1371 0.7496 0.0129 (multiplicity 4)  2 Bi 2.77-2.78, 4 Pm 2.84-3.01, 2 Rh 3.00
Rh 0.4579 0.2179 0.4935 (multiplicity 4)  4 Bi 2.70-2.77, 1 Pm 2.96

Values from the calculation:
ΔE_f, eV/f.u.: -1.864
D(E_F), states/eV/atom: 0.4742
Energy above the lowest structure with this stoichiometry, meV per atom: 23
Theoretical density, Mg/m³: 10.5



Material: Pm2BiRh
Method: DFT, PBE-GGA
State: optimized geometry

Unit cell a=4.3021 b=4.3021 c=21.7376 alpha=90.00 beta=90.00 gamma=120.00
Last column: nearest neighbours and their distance in Å.
Space group R-3m (No. 166, hexagonal axes)
Inequivalent atoms, fractional coordinates:
Pm 0.0000 0.0000 0.2377 (multiplicity 6)  3 Rh 2.93, 3 Bi 3.24
Bi 0.0000 0.0000 0.0000 (multiplicity 3)  6 Pm 3.24
Rh 0.0000 0.0000 0.5000 (multiplicity 3)  6 Pm 2.93

Values from the calculation:
ΔE_f, eV/f.u.: -2.500
D(E_F), states/eV/atom: 0.4346
Energy above the lowest structure with this stoichiometry, meV per atom: 53
Theoretical density, Mg/m³: 8.6



Material: Pm4BiRh2
Method: DFT, PBE-GGA
State: optimized geometry

Unit cell a=9.4611 b=9.4713 c=9.7399 alpha=90.00 beta=90.00 gamma=90.00
Last column: nearest neighbours and their distance in Å.
Space group Imma (No. 74)
Inequivalent atoms, fractional coordinates:
Pm 0.0000 0.0663 0.2234 (multiplicity 8)  3 Rh 2.77-2.95
Pm 0.1839 0.2500 0.5266 (multiplicity 8)  3 Rh 2.77-2.95
Bi 0.0000 0.2500 0.8742 (multiplicity 4)  4 Pm 3.14
Rh 0.0000 0.0000 0.5000 (multiplicity 4)  6 Pm 2.77-2.95
Rh 0.2500 0.2500 0.2500 (multiplicity 4)  6 Pm 2.77-2.95

Values from the calculation:
ΔE_f, eV/f.u.: -3.793
D(E_F), states/eV/atom: 0.8279
Theoretical density, Mg/m³: 7.6



Material: Pm4BiRh
Method: DFT, PBE-GGA
State: optimized geometry

Unit cell a=9.0511 b=14.2061 c=6.1557 alpha=90.00 beta=114.48 gamma=90.00
Last column: nearest neighbours and their distance in Å.
Space group C2/c (No. 15)
Inequivalent atoms, fractional coordinates:
Pm 0.1125 0.1833 0.0734 (multiplicity 8)  2 Rh 3.13-3.20, 2 Bi 3.32-3.33
Pm 0.2277 0.4291 0.3413 (multiplicity 8)  2 Rh 2.87-2.93
Bi 0.0000 0.3783 0.7500 (multiplicity 4)  8 Pm 3.32-3.43
Rh 0.0000 0.0016 0.2500 (multiplicity 4)  8 Pm 2.87-3.20, 2 Rh 3.08

Values from the calculation:
ΔE_f, eV/f.u.: -3.210
D(E_F), states/eV/atom: 1.0156
Theoretical density, Mg/m³: 8.2



Material: Pm2BiRh
Method: DFT, PBE-GGA
State: optimized geometry

Unit cell a=3.6276 b=3.6276 c=7.9800 alpha=90.00 beta=90.00 gamma=90.00
Last column: nearest neighbours and their distance in Å.
Space group P4/mmm (No. 123)
Inequivalent atoms, fractional coordinates:
Pm 0.0000 0.0000 0.2114 (multiplicity 2)  4 Rh 3.07, 1 Pm 3.37
Bi 0.5000 0.5000 0.5000 (multiplicity 1)  8 Pm 3.45, 4 Bi 3.63
Rh 0.5000 0.5000 0.0000 (multiplicity 1)  8 Pm 3.07

Values from the calculation:
ΔE_f, eV/f.u.: -2.711
D(E_F), states/eV/atom: 0.3930
Energy above the lowest structure with this stoichiometry, meV per atom: 0
Theoretical density, Mg/m³: 9.5



Material: Pm7BiRh4
Method: DFT, PBE-GGA
State: optimized geometry

Unit cell a=13.6647 b=5.9319 c=9.6700 alpha=90.00 beta=125.32 gamma=90.00
Last column: nearest neighbours and their distance in Å.
Space group C2/m (No. 12)
Inequivalent atoms, fractional coordinates:
Pm 0.0000 0.0000 0.0000 (multiplicity 2)  4 Rh 2.82-2.84, 2 Bi 2.97
Pm 0.0750 0.5000 0.3799 (multiplicity 4)  1 Rh 2.63
Pm 0.1789 0.0000 0.6246 (multiplicity 4)  1 Rh 2.64
Pm 0.2056 0.5000 0.8868 (multiplicity 4)  2 Rh 2.95-3.05, 1 Pm 3.15
Bi 0.0000 0.5000 0.0000 (multiplicity 2)  4 Pm 2.97-3.19
Rh 0.0658 0.0000 0.7721 (multiplicity 4)  3 Pm 2.64-2.95
Rh 0.2063 0.0000 0.3402 (multiplicity 4)  2 Pm 2.63-2.84

Values from the calculation:
ΔE_f, eV/f.u.: -5.233
D(E_F), states/eV/atom: 0.6539
Theoretical density, Mg/m³: 8.5



Question: Among the records above, which one has the lowest D(E_F)?
Answer: number 5



Question: theoretical density of number 3 (Pm4BiRh2)?
Answer: 7.6 Mg/m³